Record 1
MoRuBr | Alexandria | PBE | optimized geometry; energy relative to the elements, uncorrected = 0.842 eV/atom; excess energy over the best structure of this formula in the dataset = 423 meV per atom; volume = 55.69 Å³ per cell
1.0
4.286 0.000 0.000
2.143 3.712 0.000
2.143 1.237 3.500
Ru Mo Br
1 1 1
direct
0.000 0.000 0.000
0.750 0.750 0.750
0.500 0.500 0.500



Record 2
MoRu2Br | Alexandria | PBE | optimized geometry; energy relative to the elements, uncorrected = 0.608 eV/atom; excess energy over the best structure of this formula in the dataset = 115 meV per atom; volume = 62.29 Å³ per cell
1.0
2.942 0.000 0.000
0.000 2.942 0.000
0.000 0.000 7.196
Ru Mo Br
2 1 1
direct
0.000 0.000 0.994
0.500 0.500 0.244
0.500 0.500 0.758
0.000 0.000 0.504